# Sc2HgSe2 (PBE-GGA, optimized geometry)
data_Sc2HgSe2
_chemical_formula_sum 'Sc4 Hg2 Se4'
_cell_length_a 4.736
_cell_length_b 4.736
_cell_length_c 11.820
_cell_angle_alpha 90.00
_cell_angle_beta 90.00
_cell_angle_gamma 90.00
_symmetry_space_group_name_H-M 'I 4/m m m'
_symmetry_Int_Tables_number 139
_symmetry_space_group_name_Hall '-I 4 2'
loop_
_atom_site_label
_atom_site_fract_x
_atom_site_fract_y
_atom_site_fract_z
Sc1 0.000 0.500 0.250
Hg1 0.000 0.000 0.000
Se1 0.000 0.000 0.350
# **Formation energy (no corrections)**: -1.0530 eV/atom
# **Volume**: 265.2 Å³/cell
# **Calculated total energy**: -5.040 eV/atom